The following is a PBE-GGA calculation of CuH11C3N2Cl3 after structural relaxation, from the Open Quantum Materials Database.

Structure (POSCAR):
```
CuH11C3N2Cl3
1.0
6.891 0.000 0.000
0.000 14.653 0.000
-5.943 0.000 8.198
C Cl Cu H N
12 12 4 44 8
direct
0.275 0.150 0.075
0.642 0.676 0.157
0.349 0.725 0.206
0.651 0.225 0.294
0.358 0.176 0.343
0.725 0.650 0.425
0.275 0.350 0.575
0.642 0.824 0.657
0.349 0.775 0.706
0.651 0.275 0.794
0.358 0.324 0.843
0.725 0.850 0.925
0.738 0.088 0.052
0.183 0.391 0.083
0.854 0.437 0.207
0.146 0.937 0.293
0.817 0.891 0.417
0.262 0.588 0.448
0.738 0.412 0.552
0.183 0.109 0.583
0.854 0.063 0.707
0.146 0.563 0.793
0.817 0.609 0.917
0.262 0.912 0.948
0.181 0.503 0.237
0.819 0.003 0.263
0.181 0.997 0.737
0.819 0.497 0.763
0.359 0.132 0.015
0.497 0.678 0.026
0.191 0.217 0.039
0.144 0.098 0.053
0.312 0.564 0.065
0.211 0.724 0.074
0.771 0.623 0.185
0.729 0.743 0.202
0.727 0.207 0.228
0.552 0.517 0.230
0.440 0.791 0.244
0.560 0.291 0.256
0.448 0.017 0.270
0.273 0.707 0.272
0.271 0.243 0.298
0.229 0.123 0.315
0.789 0.224 0.426
0.688 0.064 0.435
0.856 0.598 0.447
0.809 0.717 0.461
0.503 0.178 0.474
0.641 0.632 0.485
0.359 0.368 0.515
0.497 0.822 0.526
0.191 0.283 0.539
0.144 0.402 0.553
0.312 0.936 0.565
0.211 0.776 0.574
0.771 0.877 0.685
0.729 0.757 0.702
0.727 0.293 0.728
0.552 0.983 0.730
0.440 0.709 0.744
0.560 0.209 0.756
0.448 0.483 0.770
0.273 0.793 0.772
0.271 0.257 0.798
0.229 0.377 0.815
0.789 0.276 0.926
0.688 0.436 0.935
0.856 0.902 0.947
0.809 0.783 0.961
0.503 0.322 0.974
0.641 0.868 0.985
0.416 0.564 0.192
0.532 0.654 0.245
0.468 0.154 0.255
0.584 0.064 0.308
0.416 0.936 0.692
0.532 0.846 0.745
0.468 0.346 0.755
0.584 0.436 0.808
```

Volume   10.35 Å³ per atom
Raw total energy   -381.9 eV/cell
Crystal system   monoclinic

=====

The following is a PBE-GGA calculation of Nd2YSn3Pd3 after structural relaxation, from the Open Quantum Materials Database.

Structure (POSCAR):
```
Nd2YSn3Pd3
1.0
-1.581 1.872 -3.281
-1.728 -6.768 -3.029
-5.036 3.564 4.461
Nd Pd Sn Y
2 3 3 1
direct
0.000 0.999 0.589
0.000 0.589 0.999
0.000 0.004 0.004
0.500 0.663 0.336
0.500 0.336 0.663
0.500 0.255 0.003
0.500 0.003 0.255
0.500 0.745 0.745
0.000 0.407 0.407
```

Volume   22.86 Å³ per atom
Raw total energy   -51.8 eV/cell
Crystal system   orthorhombic

=====

The following is a PBE-GGA calculation of HoEr2Al2Cd3In after structural relaxation, from the Open Quantum Materials Database.

Structure (POSCAR):
```
HoEr2Al2Cd3In
1.0
-2.298 0.755 -3.840
-5.976 -2.879 3.010
1.317 7.138 0.616
Al Cd Er Ho In
2 3 2 1 1
direct
0.500 0.667 0.333
0.500 0.333 0.667
0.500 0.256 0.000
0.500 0.000 0.256
0.500 0.744 0.744
0.000 0.563 0.000
0.000 0.000 0.563
0.000 0.437 0.437
0.000 0.000 0.000
```

Volume   23.16 Å³ per atom
Raw total energy   -30.1 eV/cell
Crystal system   orthorhombic

=====

The following is a PBE-GGA calculation of ZnGa2Hg after structural relaxation, from the Open Quantum Materials Database.

Structure (POSCAR):
```
ZnGa2Hg
1.0
0.000 3.407 3.407
3.407 0.000 3.407
3.407 3.407 0.000
Ga Hg Zn
2 1 1
direct
0.000 0.000 0.000
0.250 0.250 0.250
0.750 0.750 0.750
0.500 0.500 0.500
```

Volume   19.77 Å³ per atom
Raw total energy   -7.1 eV/cell
Crystal system   cubic

=====

The following is a PBE-GGA calculation of HfNbP after structural relaxation, from the Open Quantum Materials Database.

Structure (POSCAR):
```
HfNbP
1.0
6.877 0.000 0.000
0.000 3.535 0.000
0.000 0.000 8.307
Hf Nb P
4 4 4
direct
0.467 0.250 0.168
0.967 0.250 0.332
0.033 0.750 0.668
0.533 0.750 0.832
0.141 0.750 0.060
0.641 0.750 0.440
0.359 0.250 0.560
0.859 0.250 0.940
0.762 0.750 0.144
0.262 0.750 0.356
0.738 0.250 0.644
0.238 0.250 0.856
```

Volume   16.83 Å³ per atom
Raw total energy   -114.2 eV/cell
Relative energy among the computed polymorphs   0.00 eV/f.u.
Crystal system   orthorhombic

=====

The following is a PBE-GGA calculation of RbBeTeIr after structural relaxation, from the Open Quantum Materials Database.

Structure (POSCAR):
```
RbBeTeIr
1.0
2.547 3.226 2.617
-2.288 2.935 3.145
0.564 -0.655 4.795
Be Ir Rb Te
1 1 1 1
direct
0.750 0.750 0.750
0.000 0.000 0.000
0.500 0.500 0.500
0.250 0.250 0.250
```

Volume   20.45 Å³ per atom
Raw total energy   -13.4 eV/cell
Relative energy among the computed polymorphs   0.00 eV/f.u.
Crystal system   cubic

=====

The following is a PBE-GGA calculation of FeCuSiNi after structural relaxation, from the Open Quantum Materials Database.

Structure (POSCAR):
```
FeCuSiNi
1.0
-3.279 2.161 0.405
-1.223 2.306 -2.962
-3.252 -0.949 -2.027
Cu Fe Ni Si
1 1 1 1
direct
0.750 0.750 0.750
0.500 0.500 0.500
0.000 0.000 0.000
0.250 0.250 0.250
```

Volume   10.88 Å³ per atom
Raw total energy   -23.8 eV/cell
Relative energy among the computed polymorphs   0.00 eV/f.u.
Crystal system   cubic

=====

The following is a PBE-GGA calculation of Sm2Dy2CI2Br2Cl after structural relaxation, from the Open Quantum Materials Database.

Structure (POSCAR):
```
Sm2Dy2CI2Br2Cl
1.0
9.300 -1.950 0.000
9.300 1.950 0.000
-1.555 0.000 8.005
Br C Cl Dy I Sm
2 1 1 2 2 2
direct
0.830 0.830 0.165
0.170 0.170 0.835
0.500 0.500 0.000
0.500 0.500 0.500
0.632 0.632 0.065
0.368 0.368 0.935
0.166 0.166 0.354
0.834 0.834 0.646
0.996 0.996 0.209
0.004 0.004 0.791
```

Volume   29.04 Å³ per atom
Raw total energy   -49.5 eV/cell
Relative energy among the computed polymorphs   0.10 eV/f.u.
Crystal system   monoclinic

=====

- What is the formula in the seventh record?
  FeCuSiNi

=====

Repeat the fifth record exactly.
The following is a PBE-GGA calculation of HfNbP after structural relaxation, from the Open Quantum Materials Database.

Structure (POSCAR):
```
HfNbP
1.0
6.877 0.000 0.000
0.000 3.535 0.000
0.000 0.000 8.307
Hf Nb P
4 4 4
direct
0.467 0.250 0.168
0.967 0.250 0.332
0.033 0.750 0.668
0.533 0.750 0.832
0.141 0.750 0.060
0.641 0.750 0.440
0.359 0.250 0.560
0.859 0.250 0.940
0.762 0.750 0.144
0.262 0.750 0.356
0.738 0.250 0.644
0.238 0.250 0.856
```

Volume   16.83 Å³ per atom
Raw total energy   -114.2 eV/cell
Relative energy among the computed polymorphs   0.00 eV/f.u.
Crystal system   orthorhombic